Density functional theory data (PBE+U) for a relaxed Cs3Cr2CdF9 crystal.

Unit cell a=6.2483 b=6.2483 c=7.6616 alpha=90.00 beta=90.00 gamma=120.00
Last column: nearest neighbours and their distance in Å.
Positions (direct):
F (0.8267, 0.1733, 0.6778)  1 Cr 2.15, 1 Cd 2.32
F (0.0000, 0.5000, 0.0000)  2 Cr 2.17
Cr (0.3333, 0.6667, 0.1570)  6 F 2.15-2.17
F (0.1733, 0.3466, 0.3222)  1 Cr 2.15, 1 Cd 2.32
F (0.8267, 0.6534, 0.6778)  1 Cr 2.15, 1 Cd 2.32
Cs (0.6667, 0.3333, 0.3357)  12 F 3.13-3.14
F (0.1733, 0.8267, 0.3222)  1 Cr 2.15, 1 Cd 2.32
Cr (0.6667, 0.3333, 0.8430)  6 F 2.15-2.17
Cd (0.0000, 0.0000, 0.5000)  6 F 2.32
F (0.6534, 0.8267, 0.3222)  1 Cr 2.15, 1 Cd 2.32
F (0.5000, 0.0000, 0.0000)  2 Cr 2.17
Cs (0.3333, 0.6667, 0.6643)  12 F 3.13-3.14
F (0.3466, 0.1733, 0.6778)  1 Cr 2.15, 1 Cd 2.32
F (0.5000, 0.5000, 0.0000)  2 Cr 2.17
Cs (0.0000, 0.0000, 0.0000)  12 F 3.10-3.12

Properties
Electronic total energy, eV for the cell shown: -73.38
DOS(E_F), states/eV per cell: 2.898